Record 1
Here is a relaxed Sc2ZnGa crystal from OQMD via LeMat-Bulk. Energies are from PBE.

POSCAR file:
```
Sc2ZnGa
1.0
-3.347 3.355 3.334
3.347 -3.355 3.334
3.347 3.355 -3.334
Sc Zn Ga
4 2 2
Direct
0.251 0.000 0.751 Sc
0.251 0.500 0.251 Sc
0.749 0.000 0.249 Sc
0.749 0.500 0.749 Sc
0.249 0.499 0.750 Zn
0.751 0.501 0.250 Zn
0.249 0.999 0.250 Ga
0.751 0.001 0.750 Ga
```

Results
The energy above the most stable polymorph in this dataset comes out at 0.029 eV per formula unit. The total magnetic moment comes out at 0.03 μB per cell. The calculation puts the mass density at 4.990 g cm⁻³.

=====

Record 2
Here is a relaxed Sc2ZnGa crystal from OQMD via LeMat-Bulk. Energies are from PBE.

POSCAR file:
```
Sc2ZnGa
1.0
4.622 0.000 0.000
-2.311 4.002 0.000
0.000 0.000 9.403
Sc Zn Ga
4 2 2
Direct
0.333 0.667 0.088 Sc
0.333 0.667 0.412 Sc
0.667 0.333 0.588 Sc
0.667 0.333 0.912 Sc
0.333 0.667 0.750 Zn
0.667 0.333 0.250 Zn
0.000 0.000 0.000 Ga
0.000 0.000 0.500 Ga
```

Results
The energy above the most stable polymorph in this dataset comes out at 1.747 eV per formula unit. The total magnetic moment comes out at 1.71 μB per cell. The calculation puts the mass density at 4.297 g cm⁻³.

=====

Record 3
Here is a relaxed Sc2ZnGa crystal from OQMD via LeMat-Bulk. Energies are from PBE.

POSCAR file:
```
Sc2ZnGa
1.0
4.732 0.000 0.000
0.000 4.732 0.000
0.000 0.000 3.343
Sc Zn Ga
2 1 1
Direct
0.000 0.500 0.000 Sc
0.500 0.000 0.000 Sc
0.000 0.000 0.500 Zn
0.500 0.500 0.500 Ga
```

Results
The energy above the most stable polymorph in this dataset comes out at 0.030 eV per formula unit. The total magnetic moment comes out at 0.01 μB per cell. The calculation puts the mass density at 4.993 g cm⁻³.

=====

Record 4
Here is a relaxed ZrScZn2Ga2 crystal from OQMD via LeMat-Bulk. Energies are from PBE.

POSCAR file:
```
ZrScZn2Ga2
1.0
4.302 0.000 0.000
-2.151 3.726 0.000
0.000 0.000 6.505
Zr Sc Zn Ga
1 1 2 2
Direct
0.000 0.000 0.000 Zr
0.000 0.000 0.500 Sc
0.333 0.667 0.251 Zn
0.667 0.333 0.749 Zn
0.333 0.667 0.748 Ga
0.667 0.333 0.252 Ga
```

Results
For the uncorrected energy, the calculation gives -4.41 eV per atom. The total magnetic moment comes out at 0.00 μB per cell. The calculation puts the mass density at 6.474 g cm⁻³.

=====

Record 5
Here is a relaxed ZrSc2Ga2 crystal from OQMD via LeMat-Bulk. Energies are from PBE.

POSCAR file:
```
ZrSc2Ga2
1.0
-2.187 2.187 5.627
2.187 -2.187 5.627
2.187 2.187 -5.627
Zr Sc Ga
1 2 2
Direct
0.000 0.000 0.000 Zr
0.381 0.381 0.000 Sc
0.619 0.619 0.000 Sc
0.250 0.750 0.500 Ga
0.750 0.250 0.500 Ga
```

Results
For the uncorrected energy, the calculation gives -5.41 eV per atom. The total magnetic moment comes out at 0.00 μB per cell. The calculation puts the mass density at 4.946 g cm⁻³.

=====

Record 6
Here is a relaxed Zr2Sc2Ga crystal from OQMD via LeMat-Bulk. Energies are from PBE.

POSCAR file:
```
Zr2Sc2Ga
1.0
-1.989 1.989 7.290
1.989 -1.989 7.290
1.989 1.989 -7.290
Zr Sc Ga
2 2 1
Direct
0.085 0.085 0.000 Zr
0.915 0.915 0.000 Zr
0.250 0.750 0.500 Sc
0.750 0.250 0.500 Sc
0.500 0.500 0.000 Ga
```

Results
The energy above the most stable polymorph in this dataset comes out at 0.000 eV per formula unit. The total magnetic moment comes out at 0.00 μB per cell. The calculation puts the mass density at 4.923 g cm⁻³.